First-principles (PBE-GGA) data for a relaxed structure of TaWC2I, as listed in the Alexandria database.

Structure (CIF):
```
data_TaWC2I
_chemical_formula_sum 'Ta1 W1 C2 I1'
_space_group_name_H-M_alt 'P 4/m m m'
_space_group_IT_number 123
_space_group_name_Hall '-P 4 2'
_cell_length_a 4.1147
_cell_length_b 4.1147
_cell_length_c 5.3244
_cell_angle_alpha 90.00
_cell_angle_beta 90.00
_cell_angle_gamma 90.00
loop_
_atom_site_label
_atom_site_type_symbol
_atom_site_fract_x
_atom_site_fract_y
_atom_site_fract_z
_atom_site_occupancy
Ta1 Ta 0.0000 0.0000 0.0000 1
W1 W 0.5000 0.5000 0.0000 1
C1 C 0.0000 0.5000 0.5000 1
I1 I 0.0000 0.0000 0.5000 1
```

Properties
Formation energy without anion corrections, eV per atom: 3.450